A plane-wave DFT calculation with meta-GGA SCAN was carried out for InHg2 at its PBEsol-relaxed geometry.

Cell lengths 4.883, 4.883, 3.488 Å; angles 90.00, 90.00, 90.00 degrees
Positions (direct):
In 0.000 0.000 0.000
Hg 0.000 0.500 0.500
Hg 0.500 0.000 0.500

Properties
V: 83 Å³ per cell
Calculated formation energy: 0.2 eV/f.u.
Density of states at the Fermi level: 0.286 states/eV per atom
Space-group type: No. 123